Density functional theory data (meta-GGA SCAN) for a crystal of TlIn2Te relaxed with PBEsol.

Calculated values
Spin magnetization, Bohr magnetons per cell: 0.00
Energy above the lowest structure with this stoichiometry, eV/atom: 0.062
E_form (uncorrected), meV/atom: -57
Space-group type: Imm2, No. 44

```
TlIn2Te
1.0
-2.010 2.586 5.361
2.010 -2.586 5.361
2.010 2.586 -5.361
Tl In Te
1 2 1
Direct
0.000 0.000 0.000
0.263 0.763 0.500
0.512 0.512 0.000
0.738 0.238 0.500
```

=====

Density functional theory data (meta-GGA SCAN) for a crystal of Tl2InTe relaxed with PBEsol.

Calculated values
Spin magnetization, Bohr magnetons per cell: 0.00
Energy above the lowest structure with this stoichiometry, eV/atom: 0.028
E_form (uncorrected), meV/atom: -102
Space-group type: I4/mmm, No. 139

```
Tl2InTe
1.0
-2.352 2.352 5.227
2.352 -2.352 5.227
2.352 2.352 -5.227
Tl In Te
2 1 1
Direct
0.250 0.750 0.500
0.750 0.250 0.500
0.000 0.000 0.000
0.500 0.500 0.000
```

=====

Density functional theory data (meta-GGA SCAN) for a crystal of Tl2InTe relaxed with PBEsol.

Calculated values
Spin magnetization, Bohr magnetons per cell: 0.00
Energy above the lowest structure with this stoichiometry, eV/atom: 0.129
E_form (uncorrected), meV/atom: -2
Space-group type: Fm-3m, No. 225

```
Tl2InTe
1.0
0.000 3.885 3.885
3.885 0.000 3.885
3.885 3.885 0.000
Tl In Te
2 1 1
Direct
0.250 0.250 0.250
0.750 0.750 0.750
0.000 0.000 0.000
0.500 0.500 0.500
```

=====

Density functional theory data (meta-GGA SCAN) for a crystal of TlIn2Te relaxed with PBEsol.

Calculated values
Spin magnetization, Bohr magnetons per cell: 0.00
Energy above the lowest structure with this stoichiometry, eV/atom: 0.038
E_form (uncorrected), meV/atom: -81
Space-group type: P4mm, No. 99

```
TlIn2Te
1.0
4.011 0.000 0.000
0.000 4.011 0.000
0.000 0.000 7.001
Tl In Te
1 2 1
Direct
0.000 0.000 0.000
0.000 0.000 0.505
0.500 0.500 0.259
0.500 0.500 0.714
```

=====

Density functional theory data (meta-GGA SCAN) for a crystal of Tl2InTe relaxed with PBEsol.

Calculated values
Spin magnetization, Bohr magnetons per cell: 0.00
Energy above the lowest structure with this stoichiometry, eV/atom: 0.017
E_form (uncorrected), meV/atom: -114
Space-group type: P4/mmm, No. 123

```
Tl2InTe
1.0
4.924 0.000 0.000
0.000 4.924 0.000
0.000 0.000 4.807
Tl In Te
2 1 1
Direct
0.000 0.500 0.000
0.500 0.000 0.000
0.000 0.000 0.500
0.500 0.500 0.500
```

=====

Density functional theory data (meta-GGA SCAN) for a crystal of TlIn2Te2 relaxed with PBEsol.

Calculated values
Spin magnetization, Bohr magnetons per cell: 0.00
E_form (uncorrected), meV/atom: -246
Space-group type: I4/mmm, No. 139

```
TlIn2Te2
1.0
-2.844 2.844 4.782
2.844 -2.844 4.782
2.844 2.844 -4.782
Tl In Te
1 2 2
Direct
0.000 0.000 0.000
0.353 0.353 0.000
0.647 0.647 0.000
0.250 0.750 0.500
0.750 0.250 0.500
```

=====

Density functional theory data (meta-GGA SCAN) for a crystal of Tl2InTe relaxed with PBEsol.

Calculated values
Spin magnetization, Bohr magnetons per cell: 0.00
Energy above the lowest structure with this stoichiometry, eV/atom: 0.036
E_form (uncorrected), meV/atom: -94
Space-group type: I-4m2, No. 119

```
Tl2InTe
1.0
-2.360 2.360 5.212
2.360 -2.360 5.212
2.360 2.360 -5.212
Tl In Te
2 1 1
Direct
0.000 0.000 0.000
0.750 0.250 0.500
0.500 0.500 0.000
0.250 0.750 0.500
```

=====

Density functional theory data (meta-GGA SCAN) for a crystal of TlIn2Te relaxed with PBEsol.

Calculated values
Spin magnetization, Bohr magnetons per cell: 0.00
Energy above the lowest structure with this stoichiometry, eV/atom: 0.055
E_form (uncorrected), meV/atom: -63
Space-group type: Immm, No. 71

```
TlIn2Te
1.0
-1.984 2.694 5.284
1.984 -2.694 5.284
1.984 2.694 -5.284
Tl In Te
1 2 1
Direct
0.000 0.000 0.000
0.267 0.767 0.500
0.733 0.233 0.500
0.500 0.500 0.000
```